# HfV3Te6 GGA-PBE relaxed
data_HfV3Te6
_symmetry_space_group_name_H-M 'P 1 21/m 1'
_symmetry_Int_Tables_number 11
_cell_length_a 11.367
_cell_length_b 3.834
_cell_length_c 11.690
_cell_angle_alpha 90.00
_cell_angle_beta 111.21
_cell_angle_gamma 90.00
loop_
_symmetry_equiv_pos_as_xyz
'x,y,z'
'-x,-y,-z'
'-x,y+1/2,-z'
'x,-y+1/2,z'
loop_
_atom_site_label
_atom_site_type_symbol
_atom_site_fract_x
_atom_site_fract_y
_atom_site_fract_z
Hf1 Hf 0.069 0.250 0.201
V1 V 0.112 0.250 0.559
V2 V 0.323 0.750 0.991
V3 V 0.459 0.250 0.387
Te1 Te 0.096 0.750 0.397
Te2 Te 0.115 0.250 0.967
Te3 Te 0.173 0.750 0.742
Te4 Te 0.286 0.750 0.224
Te5 Te 0.369 0.250 0.570
Te6 Te 0.489 0.250 0.123
# - total energy (eV/atom) = -5.882
# - formation energy without anion corrections (meV/atom) = -265.7
# - theoretical density (kg/m3) = 7670
# - crystal system = monoclinic